Material: SrPm2HfN4
Method: DFT, PBE-GGA
State: relaxed

The space group is Cmcm (No. 63) and the conventional cell measures 3.6029, 12.4303 and 12.5695 Å, with angles of 90.00, 90.00 and 90.00 degrees. The asymmetric unit holds Sr at (0.0000, 0.1111, 0.2500), Pm at (0.0000, 0.3701, 0.0304), Hf at (0.0000, 0.1555, 0.7500), N at (0.0000, 0.0000, 0.0000), N at (0.0000, 0.2542, 0.6213) and N at (0.0000, 0.4317, 0.2500).

The formation energy without anion corrections is -125 kJ per mole of atoms.

Material: PmHfTaN3
Method: DFT, PBE-GGA
State: relaxed

The space group is P2_1/m (No. 11) and the conventional cell measures 6.8724, 3.2103 and 8.3814 Å, with angles of 90.00, 94.41 and 90.00 degrees. The asymmetric unit holds Pm at (0.1450, 0.2500, 0.1841), Hf at (0.3668, 0.7500, 0.8709), Ta at (0.1515, 0.2500, 0.5833), N at (0.1483, 0.2500, 0.8515), N at (0.1534, 0.7500, 0.4207) and N at (0.4107, 0.7500, 0.1233).

The formation energy without anion corrections is -117 kJ per mole of atoms.

Material: Pm3Hf3TaN8
Method: DFT, PBE-GGA
State: relaxed

The space group is C2/m (No. 12) and the conventional cell measures 11.3172, 6.5353 and 6.8504 Å, with angles of 90.00, 123.36 and 90.00 degrees. The asymmetric unit holds Pm at (0.0000, 0.0000, 0.0000), Pm at (0.2500, 0.2500, 0.0000), Hf at (0.0000, 0.5000, 0.5000), Hf at (0.2500, 0.2500, 0.5000), Ta at (0.0000, 0.0000, 0.5000), N at (0.0123, 0.2397, 0.2970), N at (0.2271, 0.0000, 0.7026) and N at (0.2373, 0.5000, 0.7122).

The formation energy without anion corrections is -147 kJ per mole of atoms.

Material: TbPmHfN3
Method: DFT, PBE-GGA
State: relaxed

The space group is P2_1/m (No. 11) and the conventional cell measures 6.3760, 3.2932 and 9.6128 Å, with angles of 90.00, 93.58 and 90.00 degrees. The asymmetric unit holds Tb at (0.2117, 0.2500, 0.0743), Pm at (0.1624, 0.2500, 0.7146), Hf at (0.3467, 0.7500, 0.3953), N at (0.1404, 0.2500, 0.3383), N at (0.1559, 0.7500, 0.9165) and N at (0.4016, 0.7500, 0.6097).

The formation energy without anion corrections is -134 kJ per mole of atoms.

Material: TbPm2HfN4
Method: DFT, PBE-GGA
State: relaxed

The space group is P2/m (No. 10) and the conventional cell measures 5.9938, 3.4486 and 6.0376 Å, with angles of 90.00, 109.06 and 90.00 degrees. The asymmetric unit holds Tb at (0.0000, 0.0000, 0.0000), Pm at (0.0000, 0.5000, 0.5000), Pm at (0.5000, 0.0000, 0.5000), Hf at (0.5000, 0.5000, 0.0000), N at (0.2598, 0.5000, 0.2290) and N at (0.2726, 0.0000, 0.7779).

The formation energy without anion corrections is -154 kJ per mole of atoms.

Material: Tb2PmHfN4
Method: DFT, PBE-GGA
State: relaxed

The space group is P2/m (No. 10) and the conventional cell measures 5.9498, 3.4328 and 5.9854 Å, with angles of 90.00, 109.17 and 90.00 degrees. The asymmetric unit holds Tb at (0.0000, 0.0000, 0.0000), Tb at (0.0000, 0.5000, 0.5000), Pm at (0.5000, 0.0000, 0.5000), Hf at (0.5000, 0.5000, 0.0000), N at (0.2575, 0.5000, 0.2313) and N at (0.2667, 0.0000, 0.7720).

The formation energy without anion corrections is -158 kJ per mole of atoms.

Material: PmHfThN3
Method: DFT, PBE-GGA
State: relaxed

The space group is P2_1/m (No. 11) and the conventional cell measures 7.3041, 3.5000 and 8.3077 Å, with angles of 90.00, 96.92 and 90.00 degrees. The asymmetric unit holds Pm at (0.1127, 0.2500, 0.3568), Hf at (0.1576, 0.2500, 0.9436), Th at (0.4141, 0.7500, 0.6693), N at (0.1308, 0.7500, 0.0804), N at (0.1640, 0.2500, 0.6796) and N at (0.3673, 0.7500, 0.3953).

The formation energy without anion corrections is -123 kJ per mole of atoms.

Material: PmHf2VN4
Method: DFT, PBE-GGA
State: relaxed

The space group is Cmcm (No. 63) and the conventional cell measures 3.2547, 11.2344 and 11.1171 Å, with angles of 90.00, 90.00 and 90.00 degrees. The asymmetric unit holds Pm at (0.0000, 0.0975, 0.2500), Hf at (0.0000, 0.3687, 0.0441), V at (0.0000, 0.1640, 0.7500), N at (0.0000, 0.0000, 0.0000), N at (0.0000, 0.2632, 0.6140) and N at (0.0000, 0.4351, 0.2500).

The formation energy without anion corrections is -138 kJ per mole of atoms.

Q: Look up the formation energy without anion corrections of the fourth one.
A: -134 kJ per mole of atoms

Q: Look up the formation energy without anion corrections of the sixth one.
A: -158 kJ per mole of atoms

Q: The lowest formation energy without anion corrections belongs to which entry?
A: Tb2PmHfN4

Please write out number 2 again, unchanged.
Material: PmHfTaN3
Method: DFT, PBE-GGA
State: relaxed

The space group is P2_1/m (No. 11) and the conventional cell measures 6.8724, 3.2103 and 8.3814 Å, with angles of 90.00, 94.41 and 90.00 degrees. The asymmetric unit holds Pm at (0.1450, 0.2500, 0.1841), Hf at (0.3668, 0.7500, 0.8709), Ta at (0.1515, 0.2500, 0.5833), N at (0.1483, 0.2500, 0.8515), N at (0.1534, 0.7500, 0.4207) and N at (0.4107, 0.7500, 0.1233).

The formation energy without anion corrections is -117 kJ per mole of atoms.